A relaxed structure of Th2Zn3Sn. Source: Alexandria, functional PBE.

Lattice parameters (Å, degrees): 7.749 9.141 15.824 90.00 90.00 90.00
Space group Fmmm (No. 69)
Inequivalent atoms, fractional coordinates:
Th  0.249  0.000  0.000 x8
Th  0.250  0.250  0.250 x8
Zn  0.000  0.000  0.161 x8
Zn  0.000  0.242  0.081 x16
Sn  0.000  0.000  0.333 x8

## Properties
Electronic total energy ... -4.151 eV per atom


A relaxed structure of ThZn9Sn2. Source: Alexandria, functional PBE.

Lattice parameters (Å, degrees): 5.5964 5.5964 24.6911 90.00 90.00 120.00
Space group R-3m (No. 166, hexagonal axes)
Inequivalent atoms, fractional coordinates:
Th  0.0000  0.0000  0.0000 x3
Zn  0.0000  0.0000  0.3316 x6
Zn  0.0000  0.0000  0.5000 x3
Zn  0.9997  0.4998  0.0830 x18
Sn  0.0000  0.0000  0.1371 x6

## Properties
Electronic total energy ... -2.298 eV per atom